[1]
! PaBr2Cl2, relaxed, DFT PBE; values from VASP
&SYSTEM
  ibrav = 0, nat = 5, ntyp = 3
/
ATOMIC_SPECIES
Cl 35.45 Cl.upf
Br 79.90 Br.upf
Pa 231.04 Pa.upf
ATOMIC_POSITIONS crystal
Cl 0.0000 0.7549 0.2451
Cl 0.0000 0.2451 0.7549
Br 0.5020 0.2153 0.2153
Br 0.4980 0.7847 0.7847
Pa 0.0000 0.0000 0.0000
CELL_PARAMETERS angstrom
4.2746 0.1712 -0.1668
-0.3278 6.8158 -0.8618
0.2485 -0.0383 6.8733
! E_tot: -4.93 eV/atom
! ρ: 3.8 g/cm3
! Formation energy from raw total energies: -8.1 eV per formula unit
! Symmetry: C2/m
! DOS at the Fermi energy: 4.78 states/eV per cell
! Total moment: 1.00 μB per formula unit

***

[2]
! AlFe2Br, relaxed, DFT PBE; values from VASP
&SYSTEM
  ibrav = 0, nat = 4, ntyp = 3
/
ATOMIC_SPECIES
Fe 55.84 Fe.upf
Br 79.90 Br.upf
Al 26.98 Al.upf
ATOMIC_POSITIONS crystal
Fe 0.9150 0.9150 0.1097
Fe 0.1961 0.1961 0.2441
Br 0.9214 0.9214 0.7341
Al 0.4675 0.4675 0.4120
CELL_PARAMETERS angstrom
-2.4116 -3.3172 -0.4798
-1.6441 -2.8318 2.5154
-5.6076 3.1118 0.9327
! E_tot: -5.32 eV/atom
! ρ: 4.7 g/cm3
! Formation energy from raw total energies: 1.1 eV per formula unit
! Symmetry: Cm
! DOS at the Fermi energy: 2.36 states/eV per cell
! Total moment: 4.39 μB per formula unit

***

[3]
! CsBaIF2, relaxed, DFT PBE; values from VASP
&SYSTEM
  ibrav = 0, nat = 5, ntyp = 4
/
ATOMIC_SPECIES
I 126.90 I.upf
F 19.00 F.upf
Ba 137.33 Ba.upf
Cs 132.91 Cs.upf
ATOMIC_POSITIONS crystal
I 0.0000 0.0000 0.5000
F 0.5000 0.0000 0.0000
F 0.0000 0.5000 0.0000
Ba 0.0000 0.0000 0.0000
Cs 0.5000 0.5000 0.5000
CELL_PARAMETERS angstrom
5.1986 0.0000 0.0000
0.0000 5.1986 0.0000
0.0000 0.0000 7.1254
! E_tot: -4.34 eV/atom
! ρ: 3.8 g/cm3
! Formation energy from raw total energies: -13.6 eV per formula unit
! Symmetry: P4/mmm
! DOS at the Fermi energy: 0.00 states/eV per cell
! Total moment: 0.00 μB per formula unit

***

[4]
! Rb2Hg2I, relaxed, DFT PBE; values from VASP
&SYSTEM
  ibrav = 0, nat = 10, ntyp = 3
/
ATOMIC_SPECIES
I 126.90 I.upf
Hg 200.59 Hg.upf
Rb 85.47 Rb.upf
ATOMIC_POSITIONS crystal
I 0.5000 0.5000 0.0000
I 0.0000 0.0000 0.0000
Hg 0.8893 0.6107 0.0000
Hg 0.3893 0.8893 0.0000
Hg 0.6107 0.1107 0.0000
Hg 0.1107 0.3893 0.0000
Rb 0.8095 0.3095 0.5000
Rb 0.3095 0.1905 0.5000
Rb 0.1905 0.6905 0.5000
Rb 0.6905 0.8095 0.5000
CELL_PARAMETERS angstrom
9.6648 0.0000 0.0000
0.0000 9.6648 0.0000
0.0000 0.0000 4.7363
! E_tot: -1.40 eV/atom
! ρ: 5.2 g/cm3
! Formation energy from raw total energies: -2.9 eV per formula unit
! Symmetry: P4/mbm
! DOS at the Fermi energy: 6.87 states/eV per cell
! Total moment: 0.00 μB per formula unit

***

[5]
! Nd8N6Cl, relaxed, DFT PBE; values from VASP
&SYSTEM
  ibrav = 0, nat = 15, ntyp = 3
/
ATOMIC_SPECIES
N 14.01 N.upf
Nd 144.24 Nd.upf
Cl 35.45 Cl.upf
ATOMIC_POSITIONS crystal
N 0.7511 0.4790 0.3443
N 0.2489 0.1347 0.4790
N 0.2489 0.5210 0.6557
N 0.2489 0.3443 0.8653
N 0.7511 0.8653 0.5210
N 0.7511 0.6557 0.1347
Nd 0.7470 0.9656 0.3305
Nd 0.7470 0.6695 0.6351
Nd 0.2530 0.3305 0.3649
Nd 0.2489 0.6667 0.3333
Nd 0.7470 0.3649 0.0344
Nd 0.7511 0.3333 0.6667
Nd 0.2530 0.0344 0.6695
Nd 0.2530 0.6351 0.9656
Cl 0.5000 0.0000 0.0000
CELL_PARAMETERS angstrom
-0.1887 0.1180 3.6933
-9.7271 0.6548 -0.5179
4.2832 -8.7589 0.4987
! E_tot: -7.16 eV/atom
! ρ: 6.9 g/cm3
! Formation energy from raw total energies: -17.4 eV per formula unit
! Symmetry: P-3
! DOS at the Fermi energy: 8.74 states/eV per cell
! Total moment: 0.00 μB per formula unit

***

[6]
! LiIrRh2, relaxed, DFT PBE; values from VASP
&SYSTEM
  ibrav = 0, nat = 4, ntyp = 3
/
ATOMIC_SPECIES
Rh 102.91 Rh.upf
Ir 192.22 Ir.upf
Li 6.94 Li.upf
ATOMIC_POSITIONS crystal
Rh 0.0000 0.0000 0.9957
Rh 0.5000 0.5000 0.2491
Ir 0.0000 0.0000 0.5041
Li 0.5000 0.5000 0.7511
CELL_PARAMETERS angstrom
2.6844 -0.0013 0.0000
-1.2984 2.3495 0.0000
0.0000 0.0000 9.0284
! E_tot: -6.27 eV/atom
! ρ: 11.8 g/cm3
! Calculated formation energy: 0.099 eV/atom
! Symmetry: Cmm2
! DOS at the Fermi energy: 6.67 states/eV per cell
! Total moment: 0.00 μB per formula unit

***

[7]
! Cs2TaSnBr6, relaxed, DFT PBE; values from VASP
&SYSTEM
  ibrav = 0, nat = 10, ntyp = 4
/
ATOMIC_SPECIES
Cs 132.91 Cs.upf
Br 79.90 Br.upf
Ta 180.95 Ta.upf
Sn 118.71 Sn.upf
ATOMIC_POSITIONS crystal
Cs 0.7500 0.2500 0.5000
Cs 0.2500 0.7500 0.5000
Br 0.7647 0.7647 0.4706
Br 0.7647 0.2353 0.0000
Br 0.2353 0.2353 0.0000
Br 0.2353 0.2353 0.5294
Br 0.7647 0.7647 0.0000
Br 0.2353 0.7647 0.0000
Ta 0.0000 0.0000 0.0000
Sn 0.5000 0.5000 0.0000
CELL_PARAMETERS angstrom
-0.0275 6.1168 5.2461
-7.6821 1.5644 -1.8644
-5.5745 0.3020 5.8077
! E_tot: -3.73 eV/atom
! ρ: 4.7 g/cm3
! Formation energy from raw total energies: -9.7 eV per formula unit
! Symmetry: I4/mmm
! DOS at the Fermi energy: 2.59 states/eV per cell
! Total moment: 3.00 μB per formula unit

***

[8]
! Ca2ZnIn, relaxed, DFT PBE; values from VASP
&SYSTEM
  ibrav = 0, nat = 4, ntyp = 3
/
ATOMIC_SPECIES
Ca 40.08 Ca.upf
In 114.82 In.upf
Zn 65.41 Zn.upf
ATOMIC_POSITIONS crystal
Ca 0.0000 0.0000 0.0000
Ca 0.5000 0.5000 0.5000
In 0.7500 0.7500 0.7500
Zn 0.2500 0.2500 0.2500
CELL_PARAMETERS angstrom
5.3441 0.0000 0.0000
2.6721 4.6280 0.0001
2.6721 1.5427 4.3633
! E_tot: -2.36 eV/atom
! ρ: 4.0 g/cm3
! Calculated formation energy: -0.359 eV/atom
! Symmetry: Fm-3m
! DOS at the Fermi energy: 3.01 states/eV per cell
! Total moment: 0.00 μB per formula unit

***

[9]
! La2DyS2O2, relaxed, DFT PBE; values from VASP
&SYSTEM
  ibrav = 0, nat = 7, ntyp = 4
/
ATOMIC_SPECIES
O 16.00 O.upf
La 138.91 La.upf
S 32.06 S.upf
Dy 162.50 Dy.upf
ATOMIC_POSITIONS crystal
O 0.0000 0.5000 0.0000
O 0.5000 0.0000 0.0000
La 0.3667 0.3667 0.7334
La 0.6333 0.6333 0.2666
S 0.1781 0.1781 0.3562
S 0.8219 0.8219 0.6438
Dy 0.0000 0.0000 0.0000
CELL_PARAMETERS angstrom
-1.4713 -4.0685 0.1565
4.0104 -1.4769 -0.6908
-0.0374 2.6153 7.7574
! E_tot: -7.26 eV/atom
! ρ: 6.3 g/cm3
! Formation energy from raw total energies: -18.2 eV per formula unit
! Symmetry: I4/mmm
! DOS at the Fermi energy: 3.69 states/eV per cell
! Total moment: 0.00 μB per formula unit

***

[10]
! TbHo2Er, relaxed, DFT PBE; values from VASP
&SYSTEM
  ibrav = 0, nat = 4, ntyp = 3
/
ATOMIC_SPECIES
Ho 164.93 Ho.upf
Tb 158.93 Tb.upf
Er 167.26 Er.upf
ATOMIC_POSITIONS crystal
Ho 0.7500 0.7500 0.7500
Ho 0.2500 0.2500 0.2500
Tb 0.5000 0.5000 0.5000
Er 0.0000 0.0000 0.0000
CELL_PARAMETERS angstrom
-4.6785 2.2232 2.1857
-5.0391 -1.7357 -1.7899
-3.2703 -3.0888 3.3723
! E_tot: -4.44 eV/atom
! ρ: 8.7 g/cm3
! Calculated formation energy: 0.145 eV/atom
! Symmetry: Fm-3m
! DOS at the Fermi energy: 10.42 states/eV per cell
! Total moment: 0.07 μB per formula unit

***

[11]
! ZrCuSeBr2, relaxed, DFT PBE; values from VASP
&SYSTEM
  ibrav = 0, nat = 5, ntyp = 4
/
ATOMIC_SPECIES
Cu 63.55 Cu.upf
Se 78.96 Se.upf
Zr 91.22 Zr.upf
Br 79.90 Br.upf
ATOMIC_POSITIONS crystal
Cu 0.5000 0.5000 0.5000
Se 0.0000 0.0000 0.5000
Zr 0.0000 0.0000 0.0000
Br 0.5000 0.0000 0.0000
Br 0.0000 0.5000 0.0000
CELL_PARAMETERS angstrom
-2.4594 -2.3347 -4.1175
0.4336 -4.7317 2.4240
-4.5985 0.7638 2.3136
! E_tot: -4.18 eV/atom
! ρ: 4.4 g/cm3
! Formation energy from raw total energies: -1.4 eV per formula unit
! Symmetry: P4/mmm
! DOS at the Fermi energy: 3.06 states/eV per cell
! Total moment: 0.00 μB per formula unit

***

[12]
! MnCu2P, relaxed, DFT PBE; values from VASP
&SYSTEM
  ibrav = 0, nat = 4, ntyp = 3
/
ATOMIC_SPECIES
Mn 54.94 Mn.upf
P 30.97 P.upf
Cu 63.55 Cu.upf
ATOMIC_POSITIONS crystal
Mn 0.0000 0.5000 0.5000
P 0.5000 0.5000 0.0000
Cu 0.5000 0.0000 0.5000
Cu 0.0000 0.0000 0.0000
CELL_PARAMETERS angstrom
4.2199 0.0004 0.0015
-2.0818 4.7419 0.0018
0.0564 0.7076 2.4947
! E_tot: -5.61 eV/atom
! ρ: 7.1 g/cm3
! Calculated formation energy: 0.082 eV/atom
! Symmetry: C2/m
! DOS at the Fermi energy: 2.70 states/eV per cell
! Total moment: 2.89 μB per formula unit

***

[13]
! Ac2Pm3Sm5, relaxed, DFT PBE; values from VASP
&SYSTEM
  ibrav = 0, nat = 20, ntyp = 3
/
ATOMIC_SPECIES
Pm 145.00 Pm.upf
Sm 150.36 Sm.upf
Ac 227.00 Ac.upf
ATOMIC_POSITIONS crystal
Pm 0.7501 0.0001 0.0001
Pm 0.4685 0.3733 0.7463
Pm 0.2222 0.6271 0.2537
Pm 0.5315 0.6267 0.2537
Pm 0.2499 0.9999 0.9999
Pm 0.7778 0.3729 0.7463
Sm 0.2491 0.4991 0.9982
Sm 0.0345 0.7845 0.5690
Sm 0.2771 0.3731 0.7447
Sm 0.9676 0.3716 0.7447
Sm 0.7509 0.5009 0.0018
Sm 0.5353 0.7853 0.5705
Sm 0.4647 0.2147 0.4295
Sm 0.7229 0.6269 0.2553
Sm 0.9655 0.2155 0.4310
Sm 0.0324 0.6284 0.2553
Ac 0.3562 0.8563 0.7121
Ac 0.6438 0.1437 0.2879
Ac 0.8560 0.8558 0.7121
Ac 0.1440 0.1442 0.2879
CELL_PARAMETERS angstrom
13.6813 5.1229 -7.5400
4.1841 7.6711 -5.0939
-6.4181 -3.3754 12.9327
! E_tot: -4.42 eV/atom
! ρ: 7.3 g/cm3
! Calculated formation energy: 0.191 eV/atom
! Symmetry: C2/c
! DOS at the Fermi energy: 30.86 states/eV per cell
! Total moment: 0.00 μB per formula unit

***

[14]
! GaHgSbSe2, relaxed, DFT PBE; values from VASP
&SYSTEM
  ibrav = 0, nat = 5, ntyp = 4
/
ATOMIC_SPECIES
Sb 121.76 Sb.upf
Ga 69.72 Ga.upf
Se 78.96 Se.upf
Hg 200.59 Hg.upf
ATOMIC_POSITIONS crystal
Sb 0.5000 0.5000 0.5000
Ga 0.0000 0.5000 0.0000
Se 0.5000 0.0000 0.0000
Se 0.0000 0.0000 0.5000
Hg 0.0000 0.0000 0.0000
CELL_PARAMETERS angstrom
-0.8400 -3.0365 -4.3780
-3.8968 -2.1564 2.2434
-3.2592 3.7989 -2.0096
! E_tot: -2.33 eV/atom
! ρ: 6.3 g/cm3
! Formation energy from raw total energies: 2.8 eV per formula unit
! Symmetry: P4/mmm
! DOS at the Fermi energy: 3.83 states/eV per cell
! Total moment: 0.00 μB per formula unit

***

[15]
! NaAcY4S8, relaxed, DFT PBE; values from VASP
&SYSTEM
  ibrav = 0, nat = 14, ntyp = 4
/
ATOMIC_SPECIES
Y 88.91 Y.upf
Ac 227.00 Ac.upf
S 32.06 S.upf
Na 22.99 Na.upf
ATOMIC_POSITIONS crystal
Y 0.4862 0.0048 0.5043
Y 0.0048 0.0048 0.5043
Y 0.0048 0.4862 0.5043
Y 0.6263 0.6263 0.1210
Ac 0.0025 0.0025 0.9924
S 0.2378 0.2378 0.2865
S 0.2499 0.7809 0.7192
S 0.7468 0.2328 0.2736
S 0.2499 0.2499 0.7192
S 0.7809 0.2499 0.7192
S 0.2328 0.7468 0.2736
S 0.7468 0.7468 0.2736
S 0.7576 0.7576 0.7273
Na 0.3728 0.3728 0.8817
CELL_PARAMETERS angstrom
-1.3459 6.1920 5.1081
-7.3813 3.4045 0.4125
-4.6963 -1.2763 6.7940
! E_tot: -6.54 eV/atom
! ρ: 3.6 g/cm3
! Formation energy from raw total energies: -27.3 eV per formula unit
! Symmetry: R3m
! DOS at the Fermi energy: 0.00 states/eV per cell
! Total moment: 0.00 μB per formula unit

***

[16]
! ZnIrW2, relaxed, DFT PBE; values from VASP
&SYSTEM
  ibrav = 0, nat = 4, ntyp = 3
/
ATOMIC_SPECIES
W 183.84 W.upf
Zn 65.41 Zn.upf
Ir 192.22 Ir.upf
ATOMIC_POSITIONS crystal
W 0.7500 0.2500 0.5000
W 0.0000 0.0000 0.0000
Zn 0.4999 0.4999 0.0000
Ir 0.2500 0.7500 0.5000
CELL_PARAMETERS angstrom
-0.5393 0.4678 -4.7724
2.0140 -3.7716 -2.2370
-3.1532 0.2826 3.6419
! E_tot: -8.86 eV/atom
! ρ: 17.0 g/cm3
! Calculated formation energy: 0.148 eV/atom
! Symmetry: I-4m2
! DOS at the Fermi energy: 2.25 states/eV per cell
! Total moment: 0.00 μB per formula unit

***

[17]
! Pr12Ho6Cd, relaxed, DFT PBE; values from VASP
&SYSTEM
  ibrav = 0, nat = 19, ntyp = 3
/
ATOMIC_SPECIES
Pr 140.91 Pr.upf
Ho 164.93 Ho.upf
Cd 112.41 Cd.upf
ATOMIC_POSITIONS crystal
Pr 0.9992 0.2591 0.7409
Pr 0.8298 0.4192 0.4187
Pr 0.5813 0.1702 0.5808
Pr 0.2591 0.0008 0.7409
Pr 0.1702 0.5808 0.5813
Pr 0.5808 0.5813 0.1702
Pr 0.2591 0.7409 0.9992
Pr 0.4187 0.8298 0.4192
Pr 0.0008 0.7409 0.2591
Pr 0.7409 0.9992 0.2591
Pr 0.7409 0.2591 0.0008
Pr 0.4192 0.4187 0.8298
Ho 0.8619 0.5944 0.8628
Ho 0.1381 0.4056 0.1372
Ho 0.5944 0.8628 0.8619
Ho 0.4056 0.1372 0.1381
Ho 0.1372 0.1381 0.4056
Ho 0.8628 0.8619 0.5944
Cd 0.0000 0.0000 0.0000
CELL_PARAMETERS angstrom
8.7463 -0.3601 -0.8803
-0.9366 8.7035 -0.8803
-0.3371 -0.3601 8.7841
! E_tot: -4.40 eV/atom
! ρ: 7.0 g/cm3
! Calculated formation energy: 0.114 eV/atom
! Symmetry: R-3
! DOS at the Fermi energy: 25.58 states/eV per cell
! Total moment: 0.00 μB per formula unit

***

[18]
! Ca2PmAgSe4, relaxed, DFT PBE; values from VASP
&SYSTEM
  ibrav = 0, nat = 8, ntyp = 4
/
ATOMIC_SPECIES
Ca 40.08 Ca.upf
Se 78.96 Se.upf
Pm 145.00 Pm.upf
Ag 107.87 Ag.upf
ATOMIC_POSITIONS crystal
Ca 0.5000 0.0000 0.5000
Ca 0.0000 0.5000 0.5000
Se 0.0000 0.2549 0.7486
Se 0.5000 0.7510 0.7546
Se 0.0000 0.7451 0.2514
Se 0.5000 0.2490 0.2454
Pm 0.5000 0.5000 0.0000
Ag 0.0000 0.0000 0.0000
CELL_PARAMETERS angstrom
4.2218 0.0000 0.0000
0.0000 7.2190 0.0912
0.0000 -2.5579 6.8219
! E_tot: -4.76 eV/atom
! ρ: 5.2 g/cm3
! Formation energy from raw total energies: -12.6 eV per formula unit
! Symmetry: P2/m
! Total moment: 0.00 μB per formula unit

***

[19]
! LaCuSn3, relaxed, DFT PBE; values from VASP
&SYSTEM
  ibrav = 0, nat = 10, ntyp = 3
/
ATOMIC_SPECIES
Cu 63.55 Cu.upf
Sn 118.71 Sn.upf
La 138.91 La.upf
ATOMIC_POSITIONS crystal
Cu 0.0000 0.3876 0.7752
Cu 0.0000 0.6124 0.2248
Sn 0.5000 0.5593 0.1186
Sn 0.0000 0.7170 0.4339
Sn 0.0000 0.2830 0.5661
Sn 0.5000 0.4407 0.8814
Sn 0.0000 0.9400 0.8800
Sn 0.0000 0.0600 0.1200
La 0.5000 0.1677 0.3353
La 0.5000 0.8323 0.6647
CELL_PARAMETERS angstrom
-4.5289 -0.5555 0.3378
0.0538 -2.7483 -3.7983
1.6769 -8.2620 8.8955
! E_tot: -4.64 eV/atom
! ρ: 7.2 g/cm3
! Calculated formation energy: -0.434 eV/atom
! Symmetry: Cmmm
! DOS at the Fermi energy: 3.12 states/eV per cell
! Total moment: 0.00 μB per formula unit

***

[20]
! Er5TmTe6, relaxed, DFT PBE; values from VASP
&SYSTEM
  ibrav = 0, nat = 12, ntyp = 3
/
ATOMIC_SPECIES
Te 127.60 Te.upf
Er 167.26 Er.upf
Tm 168.93 Tm.upf
ATOMIC_POSITIONS crystal
Te 0.7498 0.7514 0.0000
Te 0.7508 0.4148 0.6685
Te 0.7508 0.0833 0.3315
Te 0.2502 0.2486 0.0000
Te 0.2492 0.5852 0.3315
Te 0.2492 0.9167 0.6685
Er 0.5000 0.5000 0.0000
Er 0.5000 0.8316 0.3367
Er 0.5000 0.1684 0.6633
Er 0.0000 0.3327 0.3346
Er 0.0000 0.6673 0.6654
Tm 0.0000 0.0000 0.0000
CELL_PARAMETERS angstrom
7.4597 0.2118 0.0000
2.3034 7.0992 0.0000
1.1517 3.5496 6.4886
! E_tot: -5.05 eV/atom
! ρ: 8.6 g/cm3
! Formation energy from raw total energies: -14.4 eV per formula unit
! Symmetry: C2/m
! DOS at the Fermi energy: 5.91 states/eV per cell
! Total moment: 0.00 μB per formula unit